Computed, not measured: MgSiPd2Pt after structural relaxation at the GGA-PBE level of DFT.

## Properties
- space-group type = P4/mmm (123)
- formation energy without anion corrections (eV per atom) = -0.320
- magnetization (μB per formula unit) = 0.0
- total DFT energy (no corrections) (eV for the cell shown) = -25.0

Unit cell a=4.522 b=4.522 c=4.534 alpha=90.00 beta=90.00 gamma=90.00
Fractional coordinates of all 5 atoms:
Mg 0.000 0.000 0.000
Si 0.500 0.500 0.500
Pd 0.000 0.500 0.500
Pd 0.500 0.000 0.500
Pt 0.500 0.500 0.000